Entry 1:
{"formula": "Be2SBr", "functional": "PBE", "state": "optimized geometry", "relative_energy_ev_per_atom": 0.156, "vol_a3_per_atom": 24.04, "formation_energy_uncorrected_ev_per_atom": -0.55, "spacegroup": "P1 (1)", "total_magnetization_mub_per_cell": 0.0, "lattice": [[4.434, -0.002, -0.001], [2.184, 5.345, -0.001], [1.251, 1.258, 8.115]], "species": ["S", "Be", "S", "Br", "Br", "Be", "Be", "Be"], "fractional_positions": [[0.650, 0.695, 0.189], [0.182, 0.986, 0.278], [0.343, 0.243, 0.348], [0.654, 0.256, 0.911], [0.038, 0.779, 0.531], [0.991, 0.578, 0.356], [0.695, 0.320, 0.175], [0.864, 0.961, 0.103]]}



Entry 2:
{"formula": "Sm6ScS8", "functional": "PBE", "state": "optimized geometry", "vol_a3_per_atom": 23.76, "formation_energy_uncorrected_ev_per_atom": -2.04, "spacegroup": "Fm-3m (225)", "total_magnetization_mub_per_cell": 0.0, "lattice": [[6.892, 0.000, 3.979], [2.297, 6.498, 3.979], [0.000, 0.000, 7.958]], "species": ["Sc", "S", "S", "S", "S", "Sm", "S", "S", "S", "Sm", "S", "Sm", "Sm", "Sm", "Sm"], "fractional_positions": [[0.000, 0.000, 0.000], [0.750, 0.750, 0.750], [0.238, 0.238, 0.762], [0.762, 0.762, 0.238], [0.762, 0.238, 0.238], [0.500, 0.000, 0.000], [0.238, 0.762, 0.238], [0.238, 0.762, 0.762], [0.250, 0.250, 0.250], [0.000, 0.500, 0.500], [0.762, 0.238, 0.762], [0.000, 0.000, 0.500], [0.500, 0.500, 0.000], [0.000, 0.500, 0.000], [0.500, 0.000, 0.500]]}



Entry 3:
{"formula": "FeCuAg2", "functional": "PBE", "state": "optimized geometry", "relative_energy_ev_per_atom": 0.098, "vol_a3_per_atom": 15.16, "e_form_ev_per_atom": 0.3129, "spacegroup": "Pmmm (47)", "total_magnetization_mub_per_cell": 2.9, "lattice": [[2.760, 0.000, 0.000], [0.000, 3.818, 0.000], [0.000, 0.000, 5.754]], "species": ["Fe", "Cu", "Ag", "Ag"], "fractional_positions": [[0.500, 0.500, 0.750], [0.500, 0.500, 0.250], [0.000, 0.000, 0.001], [0.000, 0.000, 0.499]]}



Entry 4:
{"formula": "Sm8Te4P3Pt", "functional": "PBE", "state": "optimized geometry", "vol_a3_per_atom": 27.99, "formation_energy_uncorrected_ev_per_atom": -1.47, "spacegroup": "R-3m (166)", "total_magnetization_mub_per_cell": 0.0, "lattice": [[-8.305, -1.719, -0.363], [0.450, -0.346, -8.670], [5.154, -4.915, 4.621]], "species": ["Sm", "Sm", "Sm", "Sm", "Pt", "Sm", "P", "Sm", "Te", "Te", "Sm", "P", "Te", "P", "Te", "Sm"], "fractional_positions": [[0.239, 0.715, 0.976], [0.760, 0.285, 0.521], [0.263, 0.288, 0.525], [0.761, 0.285, 0.024], [0.000, 0.500, 0.000], [0.263, 0.285, 0.024], [0.500, 0.500, 0.000], [0.737, 0.715, 0.976], [0.000, 0.000, 0.500], [0.000, 0.000, 0.000], [0.737, 0.712, 0.475], [0.500, 0.500, 0.500], [0.500, 0.000, 0.500], [0.000, 0.500, 0.500], [0.500, 0.000, 0.000], [0.240, 0.715, 0.479]]}



Entry 5:
{"formula": "ErPaCuPd", "functional": "PBE", "state": "optimized geometry", "vol_a3_per_atom": 21.04, "e_form_ev_per_atom": -0.2605, "spacegroup": "F-43m (216)", "total_magnetization_mub_per_cell": 0.0, "lattice": [[4.919, 0.000, 0.000], [2.460, 4.260, 0.000], [2.460, 1.420, 4.017]], "species": ["Cu", "Pd", "Pa", "Er"], "fractional_positions": [[0.250, 0.250, 0.250], [0.750, 0.750, 0.750], [0.000, 0.000, 0.000], [0.500, 0.500, 0.500]]}



Entry 6:
{"formula": "BePAu", "functional": "PBE", "state": "optimized geometry", "vol_a3_per_atom": 17.82, "e_form_ev_per_atom": -0.1056, "spacegroup": "Pm (6)", "total_magnetization_mub_per_cell": 0.0, "lattice": [[-2.608, -5.875, 5.841], [2.345, -1.262, -2.592], [2.759, -1.437, 3.196]], "species": ["Be", "P", "Be", "Au", "P", "Au"], "fractional_positions": [[0.964, 0.266, 0.631], [0.134, 0.948, 0.460], [0.463, 0.263, 0.131], [0.063, 0.672, 0.031], [0.634, 0.946, 0.960], [0.569, 0.671, 0.525]]}



Entry 7:
{"formula": "GaCu2Cl8", "functional": "PBE", "state": "optimized geometry", "vol_a3_per_atom": 29.82, "formation_energy_uncorrected_ev_per_atom": -0.57, "spacegroup": "C2/m (12)", "total_magnetization_mub_per_cell": 1.1, "lattice": [[6.118, 0.678, 0.564], [0.999, 7.386, -0.790], [0.999, 0.573, 7.406]], "species": ["Ga", "Cl", "Cl", "Cu", "Cl", "Cu", "Cl", "Cl", "Cl", "Cl", "Cl"], "fractional_positions": [[0.000, 0.000, 0.000], [0.672, 0.219, 0.219], [0.831, 0.577, 0.577], [0.661, 0.812, 0.812], [0.821, 0.058, 0.754], [0.339, 0.188, 0.188], [0.328, 0.781, 0.781], [0.179, 0.246, 0.942], [0.179, 0.942, 0.246], [0.821, 0.754, 0.058], [0.169, 0.423, 0.423]]}



Entry 8:
{"formula": "KTcCl6", "functional": "PBE", "state": "optimized geometry", "relative_energy_ev_per_atom": 0.000, "vol_a3_per_atom": 28.74, "formation_energy_uncorrected_ev_per_atom": -0.93, "spacegroup": "C2/m (12)", "total_magnetization_mub_per_cell": 2.0, "lattice": [[8.038, 0.046, -2.741], [-3.575, 4.876, -1.603], [-0.867, -0.133, 6.211]], "species": ["Cl", "K", "Cl", "Cl", "Cl", "Tc", "Cl", "Cl"], "fractional_positions": [[0.434, 0.662, 0.661], [0.000, 0.000, 0.000], [0.227, 0.000, 0.661], [0.566, 0.338, 0.339], [0.773, 0.000, 0.339], [0.500, 0.000, 0.000], [0.227, 0.658, 0.000], [0.773, 0.342, 0.000]]}



Entry 9:
{"formula": "KGaAgPt2", "functional": "PBE", "state": "optimized geometry", "vol_a3_per_atom": 23.20, "e_form_ev_per_atom": 0.1202, "spacegroup": "P4/mmm (123)", "total_magnetization_mub_per_cell": 0.0, "lattice": [[-2.913, 3.640, -1.081], [-3.550, -3.287, -1.501], [-1.780, -0.106, 4.441]], "species": ["Ga", "Pt", "Pt", "K", "Ag"], "fractional_positions": [[0.000, 0.000, 0.000], [0.000, 0.000, 0.500], [0.500, 0.000, 0.000], [0.500, 0.500, 0.500], [0.000, 0.500, 0.000]]}



Entry 10:
{"formula": "PrThS2O", "functional": "PBE", "state": "optimized geometry", "vol_a3_per_atom": 22.67, "formation_energy_uncorrected_ev_per_atom": -2.42, "spacegroup": "P4/nmm (129)", "total_magnetization_mub_per_cell": 0.0, "lattice": [[4.033, 0.000, 0.000], [0.000, 4.033, 0.000], [0.000, 0.000, 13.939]], "species": ["S", "S", "S", "Pr", "S", "Th", "Th", "O", "O", "Pr"], "fractional_positions": [[0.500, 0.000, 0.894], [0.000, 0.500, 0.699], [0.000, 0.500, 0.106], [0.500, 0.000, 0.588], [0.500, 0.000, 0.301], [0.000, 0.500, 0.888], [0.500, 0.000, 0.112], [0.000, 0.000, 0.500], [0.500, 0.500, 0.500], [0.000, 0.500, 0.412]]}



Entry 11:
{"formula": "Ce5UAs6", "functional": "PBE", "state": "optimized geometry", "vol_a3_per_atom": 26.09, "e_form_ev_per_atom": -1.2894, "spacegroup": "C2/m (12)", "total_magnetization_mub_per_cell": 1.9, "lattice": [[-6.963, 2.168, 0.347], [-4.216, -5.706, 1.460], [-1.461, -1.759, 6.873]], "species": ["Ce", "As", "Ce", "Ce", "As", "As", "Ce", "As", "As", "Ce", "As", "U"], "fractional_positions": [[0.000, 0.666, 0.668], [0.753, 0.756, 0.000], [0.500, 0.831, 0.338], [0.500, 0.500, 0.000], [0.754, 0.409, 0.673], [0.247, 0.244, 0.000], [0.500, 0.169, 0.662], [0.246, 0.918, 0.673], [0.754, 0.082, 0.327], [0.000, 0.334, 0.332], [0.246, 0.591, 0.327], [0.000, 0.000, 0.000]]}



Entry 12:
{"formula": "BaMg9Hg2", "functional": "PBE", "state": "optimized geometry", "vol_a3_per_atom": 24.83, "e_form_ev_per_atom": -0.1832, "spacegroup": "I4_1/amd (141)", "total_magnetization_mub_per_cell": 0.0, "lattice": [[7.177, 0.000, 3.304], [3.589, 8.685, 1.652], [-0.043, 0.000, 9.541]], "species": ["Ba", "Mg", "Mg", "Hg", "Mg", "Mg", "Mg", "Hg", "Mg", "Mg", "Mg", "Mg", "Mg", "Mg", "Mg", "Mg", "Hg", "Mg", "Ba", "Mg", "Mg", "Mg", "Mg", "Hg"], "fractional_positions": [[0.250, 0.500, 0.500], [0.608, 0.327, 0.079], [0.735, 0.579, 0.827], [0.875, 0.250, 0.250], [0.142, 0.173, 0.421], [0.750, 0.500, 0.500], [0.015, 0.921, 0.673], [0.875, 0.250, 0.750], [0.142, 0.421, 0.173], [0.608, 0.079, 0.327], [0.686, 0.579, 0.173], [0.312, 0.079, 0.673], [0.735, 0.827, 0.579], [0.438, 0.421, 0.827], [0.064, 0.327, 0.921], [0.064, 0.921, 0.327], [0.875, 0.750, 0.250], [0.438, 0.827, 0.421], [0.500, 0.000, 0.000], [0.015, 0.673, 0.921], [0.312, 0.673, 0.079], [0.000, 0.000, 0.000], [0.686, 0.173, 0.579], [0.375, 0.750, 0.750]]}



Entry 13:
{"formula": "CeGdDy2", "functional": "PBE", "state": "optimized geometry", "relative_energy_ev_per_atom": 0.008, "vol_a3_per_atom": 31.32, "e_form_ev_per_atom": 0.0693, "spacegroup": "P4/mmm (123)", "total_magnetization_mub_per_cell": 6.6, "lattice": [[4.981, 0.000, 0.000], [0.000, 5.016, 0.000], [0.000, 0.000, 5.016]], "species": ["Gd", "Ce", "Dy", "Dy"], "fractional_positions": [[0.500, 0.000, 0.000], [0.500, 0.500, 0.500], [0.000, 0.500, 0.000], [0.000, 0.000, 0.500]]}



Entry 14:
{"formula": "ReAg2", "functional": "PBE", "state": "optimized geometry", "relative_energy_ev_per_atom": 0.571, "vol_a3_per_atom": 21.23, "e_form_ev_per_atom": 0.9884, "spacegroup": "P4/mmm (123)", "total_magnetization_mub_per_cell": 1.0, "lattice": [[-2.666, 3.070, -2.751], [-3.962, -2.812, 0.702], [-0.612, 1.400, 2.156]], "species": ["Ag", "Ag", "Re"], "fractional_positions": [[0.500, 0.000, 0.500], [0.000, 0.500, 0.500], [0.000, 0.000, 0.000]]}



Entry 15:
{"formula": "MgHgO3", "functional": "PBE", "state": "optimized geometry", "vol_a3_per_atom": 13.76, "formation_energy_uncorrected_ev_per_atom": -0.14, "spacegroup": "Pm-3m (221)", "total_magnetization_mub_per_cell": 0.0, "lattice": [[4.097, 0.000, 0.000], [0.000, 4.097, 0.000], [0.000, 0.000, 4.097]], "species": ["Mg", "O", "O", "O", "Hg"], "fractional_positions": [[0.500, 0.500, 0.500], [0.500, 0.000, 0.000], [0.000, 0.000, 0.500], [0.000, 0.500, 0.000], [0.000, 0.000, 0.000]]}



Entry 16:
{"formula": "TcOsRh2", "functional": "PBE", "state": "optimized geometry", "relative_energy_ev_per_atom": 0.060, "vol_a3_per_atom": 14.26, "e_form_ev_per_atom": -0.0009, "spacegroup": "Cm (8)", "total_magnetization_mub_per_cell": 0.0, "lattice": [[4.712, 0.000, -0.003], [3.939, 2.586, -0.003], [0.749, 0.224, 4.682]], "species": ["Rh", "Rh", "Os", "Tc"], "fractional_positions": [[0.753, 0.753, 0.746], [0.996, 0.996, 0.006], [0.250, 0.250, 0.250], [0.501, 0.501, 0.499]]}



Entry 17:
{"formula": "Tb4Tm6Sc", "functional": "PBE", "state": "optimized geometry", "relative_energy_ev_per_atom": 0.000, "vol_a3_per_atom": 30.40, "e_form_ev_per_atom": 0.1359, "spacegroup": "Cmcm (63)", "total_magnetization_mub_per_cell": 0.0, "lattice": [[-3.226, 0.511, 4.456], [2.139, -4.907, -1.314], [20.410, 5.095, 14.194]], "species": ["Tm", "Tb", "Tm", "Tb", "Tm", "Tb", "Tm", "Tm", "Tm", "Tm", "Tm", "Tm", "Sc", "Tb", "Tm", "Tb", "Tb", "Tm", "Tb", "Sc", "Tm", "Tb"], "fractional_positions": [[0.830, 0.661, 0.108], [0.834, 0.669, 0.956], [0.830, 0.661, 0.392], [0.166, 0.331, 0.044], [0.170, 0.339, 0.892], [0.497, 0.993, 0.378], [0.497, 0.994, 0.250], [0.170, 0.339, 0.608], [0.503, 0.006, 0.750], [0.500, 0.000, 0.000], [0.836, 0.673, 0.683], [0.836, 0.673, 0.817], [0.831, 0.661, 0.250], [0.503, 0.007, 0.878], [0.500, 0.000, 0.500], [0.497, 0.993, 0.122], [0.503, 0.007, 0.622], [0.164, 0.327, 0.317], [0.166, 0.331, 0.456], [0.169, 0.339, 0.750], [0.164, 0.327, 0.183], [0.834, 0.669, 0.544]]}



Entry 18:
{"formula": "Y4Cu2Au", "functional": "PBE", "state": "optimized geometry", "vol_a3_per_atom": 24.50, "e_form_ev_per_atom": -0.2941, "spacegroup": "R-3m (166)", "total_magnetization_mub_per_cell": 0.0, "lattice": [[-3.515, -3.143, -1.534], [1.025, -3.342, -3.516], [1.411, -7.433, 3.980]], "species": ["Y", "Cu", "Y", "Y", "Y", "Au", "Cu"], "fractional_positions": [[0.378, 0.378, 0.865], [0.751, 0.751, 0.747], [0.127, 0.127, 0.618], [0.873, 0.873, 0.382], [0.622, 0.622, 0.135], [0.000, 0.000, 0.000], [0.249, 0.249, 0.253]]}



Entry 19:
{"formula": "ZnAuBr3", "functional": "PBE", "state": "optimized geometry", "relative_energy_ev_per_atom": 0.000, "vol_a3_per_atom": 27.30, "formation_energy_uncorrected_ev_per_atom": 0.02, "spacegroup": "Pm-3m (221)", "total_magnetization_mub_per_cell": 0.0, "lattice": [[5.149, 0.000, 0.000], [0.000, 5.149, 0.000], [0.000, 0.000, 5.149]], "species": ["Zn", "Br", "Au", "Br", "Br"], "fractional_positions": [[0.000, 0.000, 0.000], [0.000, 0.500, 0.000], [0.500, 0.500, 0.500], [0.000, 0.000, 0.500], [0.500, 0.000, 0.000]]}



Entry 20:
{"formula": "CePuTc", "functional": "PBE", "state": "optimized geometry", "relative_energy_ev_per_atom": 0.000, "vol_a3_per_atom": 20.47, "e_form_ev_per_atom": -0.0352, "spacegroup": "I4mm (107)", "total_magnetization_mub_per_cell": 4.9, "lattice": [[3.413, 0.000, 0.000], [0.000, 3.413, 0.000], [-1.707, -1.707, 5.272]], "species": ["Pu", "Ce", "Tc"], "fractional_positions": [[0.327, 0.327, 0.653], [0.002, 0.002, 0.005], [0.671, 0.671, 0.342]]}



Entry 21:
{"formula": "HfTiGa2", "functional": "PBE", "state": "optimized geometry", "relative_energy_ev_per_atom": 0.006, "vol_a3_per_atom": 17.08, "e_form_ev_per_atom": -0.4231, "spacegroup": "Pmmm (47)", "total_magnetization_mub_per_cell": 0.0, "lattice": [[-0.387, -2.085, -3.350], [-2.004, -1.689, 1.283], [-4.256, 3.683, -1.800]], "species": ["Hf", "Ti", "Ga", "Ga"], "fractional_positions": [[0.500, 0.500, 0.250], [0.500, 0.500, 0.750], [0.000, 0.000, 0.517], [0.000, 0.000, 0.983]]}



Entry 22:
{"formula": "Nb2Al2Bi", "functional": "PBE", "state": "optimized geometry", "relative_energy_ev_per_atom": 0.053, "vol_a3_per_atom": 19.13, "e_form_ev_per_atom": 0.1412, "spacegroup": "P4/mbm (127)", "total_magnetization_mub_per_cell": 0.0, "lattice": [[-0.885, -6.492, 3.242], [4.748, 1.952, 5.204], [-2.687, 1.340, 1.949]], "species": ["Al", "Al", "Al", "Nb", "Bi", "Al", "Bi", "Nb", "Nb", "Nb"], "fractional_positions": [[0.379, 0.879, 0.000], [0.121, 0.379, 0.000], [0.621, 0.121, 0.000], [0.673, 0.827, 0.500], [0.500, 0.500, 0.000], [0.879, 0.621, 0.000], [0.000, 0.000, 0.000], [0.173, 0.673, 0.500], [0.327, 0.173, 0.500], [0.827, 0.327, 0.500]]}



Entry 23:
{"formula": "CaSnH", "functional": "PBE", "state": "optimized geometry", "relative_energy_ev_per_atom": 0.166, "vol_a3_per_atom": 21.77, "spacegroup": "P3m1 (156)", "total_magnetization_mub_per_cell": 0.0, "lattice": [[-0.294, 2.861, -2.132], [-2.864, -1.212, 1.775], [1.322, 3.512, 4.530]], "species": ["Sn", "H", "Ca"], "fractional_positions": [[0.000, 0.000, 0.000], [0.333, 0.667, 0.499], [0.667, 0.333, 0.500]]}



Entry 24:
{"formula": "K2LaFe", "functional": "PBE", "state": "optimized geometry", "relative_energy_ev_per_atom": 0.004, "vol_a3_per_atom": 42.18, "e_form_ev_per_atom": 0.4581, "spacegroup": "Immm (71)", "total_magnetization_mub_per_cell": 1.7, "lattice": [[-2.138, 7.767, -7.608], [1.633, 4.324, -10.070], [-2.192, -7.260, 8.078]], "species": ["K", "Fe", "K", "La"], "fractional_positions": [[0.406, 0.406, 0.000], [0.250, 0.750, 0.500], [0.094, 0.094, 0.000], [0.750, 0.250, 0.500]]}